Density functional theory data (PBE) for a geometry-optimized VCo3W structure.

Calculated values
Fermi-level density of states, states/eV per cell: 12.745
Total magnetization, μB/cell: 0.000
Space-group type: Cmcm (63)
Offset from the most stable computed form, eV/f.u.: 0.456
Energy relative to the elements, eV per atom: 0.215
Theoretical density, g cm⁻³: 10.722

Unit cell a=6.6080 b=6.6080 c=4.4056 alpha=90.00 beta=90.00 gamma=138.49
With the nearest neighbours (Å) after each atom.
Element x y z (fractional)
V: 0.0608 0.9392 0.7500  10 Co 2.65-2.69, 2 V 2.67, 2 W 2.86
V: 0.9392 0.0608 0.2500  10 Co 2.65-2.69, 2 V 2.67, 2 W 2.86
Co: 0.1080 0.3798 0.7500  4 Co 2.28-2.40, 1 W 2.40
Co: 0.3798 0.1080 0.2500  4 Co 2.28-2.40, 1 W 2.40
Co: 0.5000 0.5000 0.0000  6 Co 2.20-2.34
Co: 0.5000 0.5000 0.5000  6 Co 2.20-2.34
Co: 0.6202 0.8920 0.7500  4 Co 2.28-2.40, 1 W 2.40
Co: 0.8920 0.6202 0.2500  4 Co 2.28-2.40, 1 W 2.40
W: 0.3065 0.6935 0.2500  8 Co 2.40-2.63
W: 0.6935 0.3065 0.7500  8 Co 2.40-2.63

***

Density functional theory data (PBE) for a geometry-optimized V4CoW structure.

Calculated values
Fermi-level density of states, states/eV per cell: 5.866
Total magnetization, μB/cell: 0.000
Space-group type: P2/m (10)
Offset from the most stable computed form, eV/f.u.: 0.000
Energy relative to the elements, eV per atom: -0.053
Theoretical density, g cm⁻³: 9.253

Unit cell a=2.6121 b=4.2052 c=7.2954 alpha=90.00 beta=90.13 gamma=90.00
With the nearest neighbours (Å) after each atom.
Element x y z (fractional)
V: 0.1551 0.0000 0.3420  5 V 2.45-2.61, 2 Co 2.56, 1 W 2.65
V: 0.1701 0.5000 0.8230  1 Co 2.51, 5 V 2.57-2.73, 2 W 2.61
V: 0.8299 0.5000 0.1770  1 Co 2.51, 5 V 2.57-2.73, 2 W 2.61
V: 0.8449 0.0000 0.6580  5 V 2.45-2.61, 2 Co 2.56, 1 W 2.65
Co: 0.5000 0.5000 0.5000  6 V 2.51-2.56, 2 Co 2.61
W: 0.5000 0.0000 0.0000  2 W 2.61, 6 V 2.61-2.65

***

Density functional theory data (PBE) for a geometry-optimized VCo3W structure.

Calculated values
Fermi-level density of states, states/eV per cell: 11.990
Total magnetization, μB/cell: 3.546
Space-group type: Cmcm (63)
Offset from the most stable computed form, eV/f.u.: 0.000
Energy relative to the elements, eV per atom: 0.124
Theoretical density, g cm⁻³: 11.012

Unit cell a=11.9543 b=11.9543 c=4.0525 alpha=90.00 beta=90.00 gamma=167.62
With the nearest neighbours (Å) after each atom.
Element x y z (fractional)
V: 0.1309 0.8691 0.7500  3 Co 2.30-2.42
V: 0.8691 0.1309 0.2500  3 Co 2.30-2.42
Co: 0.0289 0.9711 0.7500  1 V 2.42, 4 Co 2.45-2.58, 6 W 2.59-2.67
Co: 0.1763 0.8237 0.2500  2 V 2.30, 1 Co 2.33
Co: 0.2743 0.7257 0.2500  3 Co 2.33-2.58, 2 V 2.59
Co: 0.7257 0.2743 0.7500  3 Co 2.33-2.58, 2 V 2.59
Co: 0.8237 0.1763 0.7500  2 V 2.30, 1 Co 2.33
Co: 0.9711 0.0289 0.2500  1 V 2.42, 4 Co 2.45-2.58, 6 W 2.59-2.67
W: 0.4304 0.5696 0.7500  2 W 2.58, 8 Co 2.59-2.84, 4 V 2.81
W: 0.5696 0.4304 0.2500  2 W 2.58, 8 Co 2.59-2.84, 4 V 2.81

***

Density functional theory data (PBE) for a geometry-optimized VCo5W structure.

Calculated values
Fermi-level density of states, states/eV per cell: 6.407
Total magnetization, μB/cell: 1.718
Space-group type: P4/mmm (123)
Energy relative to the elements, eV per atom: 0.161
Theoretical density, g cm⁻³: 10.221

Unit cell a=3.7124 b=3.7124 c=6.2413 alpha=90.00 beta=90.00 gamma=90.00
With the nearest neighbours (Å) after each atom.
Element x y z (fractional)
V: 0.0000 0.0000 0.0000  8 Co 2.33
Co: 0.0000 0.0000 0.5000  8 Co 2.53, 4 W 2.63
Co: 0.0000 0.5000 0.2246  2 V 2.33, 2 W 2.53, 2 Co 2.53
Co: 0.0000 0.5000 0.7754  2 V 2.33, 2 W 2.53, 2 Co 2.53
Co: 0.5000 0.0000 0.2246  2 V 2.33, 2 W 2.53, 2 Co 2.53
Co: 0.5000 0.0000 0.7754  2 V 2.33, 2 W 2.53, 2 Co 2.53
W: 0.5000 0.5000 0.5000  12 Co 2.53-2.63

***

Density functional theory data (PBE) for a geometry-optimized VCo2W structure.

Calculated values
Fermi-level density of states, states/eV per cell: 4.715
Total magnetization, μB/cell: 0.227
Space-group type: P4/mmm (123)
Offset from the most stable computed form, eV/f.u.: 0.077
Energy relative to the elements, eV per atom: -0.027
Theoretical density, g cm⁻³: 11.688

Unit cell a=2.6422 b=2.6422 c=7.1764 alpha=90.00 beta=90.00 gamma=90.00
With the nearest neighbours (Å) after each atom.
Element x y z (fractional)
V: 0.0000 0.0000 0.0000  8 Co 2.55, 4 V 2.64
Co: 0.5000 0.5000 0.2418  4 V 2.55, 4 W 2.63, 4 Co 2.64
Co: 0.5000 0.5000 0.7582  4 V 2.55, 4 W 2.63, 4 Co 2.64
W: 0.0000 0.0000 0.5000  8 Co 2.63, 4 W 2.64

***

Density functional theory data (PBE) for a geometry-optimized VCo2W2 structure.

Calculated values
Fermi-level density of states, states/eV per cell: 14.716
Total magnetization, μB/cell: 0.004
Space-group type: P4/mbm (127)
Energy relative to the elements, eV per atom: 0.180
Theoretical density, g cm⁻³: 13.033

Unit cell a=7.0804 b=7.0804 c=2.7270 alpha=90.00 beta=90.00 gamma=90.00
With the nearest neighbours (Å) after each atom.
Element x y z (fractional)
V: 0.0000 0.0000 0.0000  2 V 2.73, 4 Co 2.81, 8 W 2.95
V: 0.5000 0.5000 0.0000  2 V 2.73, 4 Co 2.81, 8 W 2.95
Co: 0.1234 0.3766 0.0000  6 W 2.44-2.54, 3 Co 2.47-2.73
Co: 0.3766 0.8766 0.0000  6 W 2.44-2.54, 3 Co 2.47-2.73
Co: 0.6234 0.1234 0.0000  6 W 2.44-2.54, 3 Co 2.47-2.73
Co: 0.8766 0.6234 0.0000  6 W 2.44-2.54, 3 Co 2.47-2.73
W: 0.1745 0.6745 0.5000  6 Co 2.44-2.54, 2 W 2.73
W: 0.3255 0.1745 0.5000  6 Co 2.44-2.54, 2 W 2.73
W: 0.6745 0.8255 0.5000  6 Co 2.44-2.54, 2 W 2.73
W: 0.8255 0.3255 0.5000  6 Co 2.44-2.54, 2 W 2.73

***

Density functional theory data (PBE) for a geometry-optimized VCo3W structure.

Calculated values
Fermi-level density of states, states/eV per cell: 6.257
Total magnetization, μB/cell: 2.829
Space-group type: Pm-3m (221)
Offset from the most stable computed form, eV/f.u.: 5.604
Energy relative to the elements, eV per atom: 1.245
Theoretical density, g cm⁻³: 9.682

Unit cell a=4.1328 b=4.1328 c=4.1328 alpha=90.00 beta=90.00 gamma=90.00
With the nearest neighbours (Å) after each atom.
Element x y z (fractional)
V: 0.0000 0.0000 0.0000  6 Co 2.07
Co: 0.0000 0.0000 0.5000  2 V 2.07
Co: 0.0000 0.5000 0.0000  2 V 2.07
Co: 0.5000 0.0000 0.0000  2 V 2.07
W: 0.5000 0.5000 0.5000  12 Co 2.92

***

Density functional theory data (PBE) for a geometry-optimized V2Co9W structure.

Calculated values
Fermi-level density of states, states/eV per cell: 11.833
Total magnetization, μB/cell: 1.191
Space-group type: R3m (160)
Offset from the most stable computed form, eV/f.u.: 0.000
Energy relative to the elements, eV per atom: -0.134
Theoretical density, g cm⁻³: 10.146

Unit cell a=6.7499 b=6.7499 c=6.7499 alpha=43.76 beta=43.76 gamma=43.76
With the nearest neighbours (Å) after each atom.
Element x y z (fractional)
V: 0.0000 0.0000 0.0000  12 Co 2.50-2.52
V: 0.2180 0.2180 0.2180  12 Co 2.46-2.54
Co: 0.0024 0.4973 0.4973  8 Co 2.45-2.54, 3 V 2.52-2.54, 1 W 2.56
Co: 0.2341 0.7183 0.7183  8 Co 2.44-2.60, 3 V 2.50-2.52, 1 W 2.51
Co: 0.2816 0.2816 0.7687  8 Co 2.45-2.58, 2 V 2.46-2.51, 2 W 2.52
Co: 0.2816 0.7687 0.2816  8 Co 2.45-2.58, 2 V 2.46-2.51, 2 W 2.52
Co: 0.4973 0.0024 0.4973  8 Co 2.45-2.54, 3 V 2.52-2.54, 1 W 2.56
Co: 0.4973 0.4973 0.0024  8 Co 2.45-2.54, 3 V 2.52-2.54, 1 W 2.56
Co: 0.7183 0.2341 0.7183  8 Co 2.44-2.60, 3 V 2.50-2.52, 1 W 2.51
Co: 0.7183 0.7183 0.2341  8 Co 2.44-2.60, 3 V 2.50-2.52, 1 W 2.51
Co: 0.7687 0.2816 0.2816  8 Co 2.45-2.58, 2 V 2.46-2.51, 2 W 2.52
W: 0.7804 0.7804 0.7804  12 Co 2.51-2.56

***

Q: What is the energy relative to the elements in the fourth record?
A: 0.161 eV per atom

***

Repeat the eighth record exactly.
Density functional theory data (PBE) for a geometry-optimized V2Co9W structure.

Calculated values
Fermi-level density of states, states/eV per cell: 11.833
Total magnetization, μB/cell: 1.191
Space-group type: R3m (160)
Offset from the most stable computed form, eV/f.u.: 0.000
Energy relative to the elements, eV per atom: -0.134
Theoretical density, g cm⁻³: 10.146

Unit cell a=6.7499 b=6.7499 c=6.7499 alpha=43.76 beta=43.76 gamma=43.76
With the nearest neighbours (Å) after each atom.
Element x y z (fractional)
V: 0.0000 0.0000 0.0000  12 Co 2.50-2.52
V: 0.2180 0.2180 0.2180  12 Co 2.46-2.54
Co: 0.0024 0.4973 0.4973  8 Co 2.45-2.54, 3 V 2.52-2.54, 1 W 2.56
Co: 0.2341 0.7183 0.7183  8 Co 2.44-2.60, 3 V 2.50-2.52, 1 W 2.51
Co: 0.2816 0.2816 0.7687  8 Co 2.45-2.58, 2 V 2.46-2.51, 2 W 2.52
Co: 0.2816 0.7687 0.2816  8 Co 2.45-2.58, 2 V 2.46-2.51, 2 W 2.52
Co: 0.4973 0.0024 0.4973  8 Co 2.45-2.54, 3 V 2.52-2.54, 1 W 2.56
Co: 0.4973 0.4973 0.0024  8 Co 2.45-2.54, 3 V 2.52-2.54, 1 W 2.56
Co: 0.7183 0.2341 0.7183  8 Co 2.44-2.60, 3 V 2.50-2.52, 1 W 2.51
Co: 0.7183 0.7183 0.2341  8 Co 2.44-2.60, 3 V 2.50-2.52, 1 W 2.51
Co: 0.7687 0.2816 0.2816  8 Co 2.45-2.58, 2 V 2.46-2.51, 2 W 2.52
W: 0.7804 0.7804 0.7804  12 Co 2.51-2.56

***

Copy entry 8 word for word.
Density functional theory data (PBE) for a geometry-optimized V2Co9W structure.

Calculated values
Fermi-level density of states, states/eV per cell: 11.833
Total magnetization, μB/cell: 1.191
Space-group type: R3m (160)
Offset from the most stable computed form, eV/f.u.: 0.000
Energy relative to the elements, eV per atom: -0.134
Theoretical density, g cm⁻³: 10.146

Unit cell a=6.7499 b=6.7499 c=6.7499 alpha=43.76 beta=43.76 gamma=43.76
With the nearest neighbours (Å) after each atom.
Element x y z (fractional)
V: 0.0000 0.0000 0.0000  12 Co 2.50-2.52
V: 0.2180 0.2180 0.2180  12 Co 2.46-2.54
Co: 0.0024 0.4973 0.4973  8 Co 2.45-2.54, 3 V 2.52-2.54, 1 W 2.56
Co: 0.2341 0.7183 0.7183  8 Co 2.44-2.60, 3 V 2.50-2.52, 1 W 2.51
Co: 0.2816 0.2816 0.7687  8 Co 2.45-2.58, 2 V 2.46-2.51, 2 W 2.52
Co: 0.2816 0.7687 0.2816  8 Co 2.45-2.58, 2 V 2.46-2.51, 2 W 2.52
Co: 0.4973 0.0024 0.4973  8 Co 2.45-2.54, 3 V 2.52-2.54, 1 W 2.56
Co: 0.4973 0.4973 0.0024  8 Co 2.45-2.54, 3 V 2.52-2.54, 1 W 2.56
Co: 0.7183 0.2341 0.7183  8 Co 2.44-2.60, 3 V 2.50-2.52, 1 W 2.51
Co: 0.7183 0.7183 0.2341  8 Co 2.44-2.60, 3 V 2.50-2.52, 1 W 2.51
Co: 0.7687 0.2816 0.2816  8 Co 2.45-2.58, 2 V 2.46-2.51, 2 W 2.52
W: 0.7804 0.7804 0.7804  12 Co 2.51-2.56

***

Q: Which value of theoretical density does entry 5 give?
A: 11.688 g cm⁻³